VASP calculation (PBE) on a relaxed Dy2Cu3Au crystal.

Calculated values
ΔE_f = -411 meV per atom
Energy above the lowest structure with this stoichiometry = 0 meV/atom
Magnetization = 0.00 μB/f.u.
Calculated total energy = -54.48 eV per cell

The structure in extended XYZ format:
```
12
Lattice="-5.108 1.799 1.422 2.040 -1.580 4.969 4.291 6.861 -2.111" Properties=species:S:1:pos:R:3 pbc="T T T"
Dy 2.398 2.695 3.027
Dy -2.306 0.165 4.804
Dy -1.175 4.385 1.253
Dy -0.762 0.054 1.587
Cu 0.755 0.359 4.286
Cu 4.159 4.976 1.826
Cu 0.468 6.721 -0.005
Cu -2.936 2.103 2.455
Cu 0.890 2.250 0.350
Cu 0.333 4.829 3.930
Au -0.613 2.439 3.558
Au 1.836 4.641 0.722
```